VASP calculation (PBEsol) on crystalline Hg2PbW at its relaxed geometry.

* calculated formation energy: 647 meV/atom
* total energy: -16.35 eV per cell

Cell lengths 2.881, 4.852, 7.391 Å; angles 109.16, 101.24, 90.00 degrees
Atoms (fractional coordinates):
Hg (0.759, 0.259, 0.519)
Hg (0.929, 0.929, 0.859)
W (0.249, 0.749, 0.498)
Pb (0.562, 0.562, 0.125)

VASP calculation (PBEsol) on crystalline HgPbW at its relaxed geometry.

* energy relative to the lowest polymorph listed for this composition: 111 meV per atom
* calculated formation energy: 1191 meV/atom
* total energy: -14.80 eV per cell

Cell lengths 4.662, 4.662, 4.662 Å; angles 60.00, 60.00, 60.00 degrees
Site moments in Bohr magnetons follow the coordinates.
Atoms (fractional coordinates):
W (0.250, 0.250, 0.250)  1.54
Pb (0.500, 0.500, 0.500)  -0.02
Hg (0.000, 0.000, 0.000)  0.03

VASP calculation (PBEsol) on crystalline HgPbW2 at its relaxed geometry.

* energy relative to the lowest polymorph listed for this composition: 296 meV per atom
* calculated formation energy: 1197 meV/atom
* total energy: -27.39 eV per cell

Cell lengths 4.671, 4.671, 4.671 Å; angles 60.00, 60.00, 60.00 degrees
Atoms (fractional coordinates):
Hg (0.000, 0.000, 0.000)
W (0.250, 0.250, 0.250)
Pb (0.500, 0.500, 0.500)
W (0.750, 0.750, 0.750)

VASP calculation (PBEsol) on crystalline Hg2PbW at its relaxed geometry.

* calculated formation energy: 897 meV/atom
* total energy: -15.35 eV per cell

Cell lengths 4.195, 4.195, 4.650 Å; angles 90.00, 90.00, 90.00 degrees
Site moments in Bohr magnetons follow the coordinates.
Atoms (fractional coordinates):
W (0.000, 0.000, 0.500)  0.96
Hg (0.000, 0.500, 0.000)  0.00
Pb (0.500, 0.500, 0.500)  -0.01
Hg (0.500, 0.000, 0.000)  0.00

VASP calculation (PBEsol) on crystalline HgPbW at its relaxed geometry.

* energy relative to the lowest polymorph listed for this composition: 0 meV per atom
* calculated formation energy: 1080 meV/atom
* total energy: -15.13 eV per cell

Cell lengths 2.931, 4.931, 4.931 Å; angles 120.00, 90.00, 90.00 degrees
Atoms (fractional coordinates):
W (0.498, 0.333, 0.667)
Hg (0.000, 0.000, 0.000)
Pb (0.501, 0.667, 0.333)

VASP calculation (PBEsol) on crystalline HgPb3W at its relaxed geometry.

* calculated formation energy: 561 meV/atom
* total energy: -23.57 eV per cell

Cell lengths 5.350, 5.350, 5.350 Å; angles 90.00, 90.00, 90.00 degrees
Atoms (fractional coordinates):
Hg (0.500, 0.500, 0.500)
Pb (0.000, 0.500, 0.000)
Pb (0.500, 0.000, 0.000)
Pb (0.000, 0.000, 0.500)
W (0.000, 0.000, 0.000)

VASP calculation (PBEsol) on crystalline HgPbW2 at its relaxed geometry.

* energy relative to the lowest polymorph listed for this composition: 115 meV per atom
* calculated formation energy: 1016 meV/atom
* total energy: -28.12 eV per cell

Cell lengths 3.157, 4.811, 4.903 Å; angles 90.00, 90.00, 90.00 degrees
Atoms (fractional coordinates):
Hg (0.500, 0.500, 0.000)
W (0.000, 0.000, 0.000)
W (0.500, 0.000, 0.500)
Pb (0.000, 0.500, 0.500)

VASP calculation (PBEsol) on crystalline YHg2Pb at its relaxed geometry.

* calculated formation energy: -281 meV/atom
* total energy: -13.08 eV per cell

Cell lengths 3.736, 3.740, 7.108 Å; angles 90.00, 90.00, 90.00 degrees
Atoms (fractional coordinates):
Hg (0.500, 0.500, 0.231)
Y (0.500, 0.500, 0.771)
Hg (0.000, 0.000, 0.009)
Pb (0.000, 0.000, 0.489)